(1)
This record from Alexandria via LeMat-Bulk describes a relaxed Li3ErZr2S6 crystal. The functional is GGA-PBE.

Values from the calculation:
ΔE_f (raw) (eV/atom): -1.6127

Unit cell a=6.404 b=6.404 c=6.586 alpha=99.33 beta=99.33 gamma=120.00
Positions (direct):
Li 0.166 0.834 0.500
Li 0.834 0.166 0.500
Li 0.500 0.500 0.500
Er 0.000 0.000 0.000
Zr 0.334 0.666 0.000
Zr 0.666 0.334 0.000
S 0.916 0.574 0.749
S 0.742 0.742 0.252
S 0.084 0.426 0.251
S 0.574 0.916 0.749
S 0.258 0.258 0.748
S 0.426 0.084 0.251

---

(2)
This record from Alexandria via LeMat-Bulk describes a relaxed SmGeAu3 crystal. The functional is GGA-PBE.

Unit cell a=5.113 b=5.113 c=4.992 alpha=63.43 beta=63.43 gamma=80.14
Positions (direct):
Sm 0.611 0.611 0.790
Ge 0.302 0.302 0.559
Au 0.298 0.877 0.323
Au 0.877 0.298 0.323
Au 0.913 0.913 0.002

---

(3)
This record from Alexandria via LeMat-Bulk describes a relaxed CrCo3 crystal. The functional is GGA-PBE.

Unit cell a=2.478 b=2.478 c=7.106 alpha=90.00 beta=90.00 gamma=90.00
Last column: magnetic moment on the atom in μB.
Positions (direct):
Cr 0.500 0.500 0.250  0.01
Co 0.000 0.000 0.997  1.13
Co 0.000 0.000 0.503  1.13
Co 0.500 0.500 0.750  1.62

---

no.,final energy (eV per atom)
1,-5.96
2,-4.35
3,-7.66